# 1
LiGePb2S4: relaxed, GGA-PBE.

abc: 5.980 8.873 8.012
angles: 90.00 90.00 90.00
Fractional positions:
1 Ge 0.992 0.153 0.000
2 Ge 0.492 0.847 0.500
3 S 0.421 0.703 0.739
4 S 0.901 0.893 0.000
5 S 0.383 0.136 0.000
6 S 0.401 0.107 0.500
7 S 0.883 0.864 0.500
8 S 0.921 0.297 0.239
9 S 0.921 0.297 0.761
10 S 0.421 0.703 0.261
11 Pb 0.951 0.663 0.762
12 Pb 0.451 0.337 0.262
13 Pb 0.951 0.663 0.238
14 Pb 0.451 0.337 0.738
15 Li 0.482 0.863 0.000
16 Li 0.982 0.137 0.500

Output
total energy: -4.33 eV per atom
space-group type: Pmn2_1 (31)

***

# 2
Ca2ZrCl: relaxed, GGA-PBE.

abc: 3.415 3.415 10.156
angles: 90.00 90.00 90.00
Fractional positions:
1 Cl 0.000 0.000 0.296
2 Zr 0.500 0.500 0.761
3 Ca 0.500 0.500 0.446
4 Ca 0.000 0.000 0.997

Output
total energy: -4.00 eV per atom
space-group type: P4mm (99)
energy above the lowest structure with this stoichiometry: 227 meV per atom

***

# 3
SiTcAg2I: relaxed, GGA-PBE.

abc: 5.245 4.892 5.245
angles: 90.00 90.00 90.00
Fractional positions:
1 Tc 0.000 0.000 0.000
2 Ag 0.500 0.000 0.000
3 Ag 0.000 0.000 0.500
4 I 0.000 0.500 0.000
5 Si 0.500 0.500 0.500

Output
total energy: -3.21 eV per atom
space-group type: P4/mmm (123)

***

# 4
CeCd4Hg7: relaxed, GGA-PBE.

abc: 6.220 8.791 7.037
angles: 73.47 63.77 69.28
Fractional positions:
1 Cd 0.254 0.327 0.165
2 Cd 0.498 0.674 0.329
3 Cd 0.746 0.673 0.835
4 Cd 0.502 0.326 0.671
5 Hg 0.736 0.349 0.180
6 Hg 0.264 0.651 0.820
7 Hg 0.996 0.343 0.664
8 Hg 0.004 0.657 0.336
9 Hg 0.500 0.000 0.000
10 Hg 0.748 0.997 0.507
11 Hg 0.252 0.003 0.493
12 Ce 0.000 0.000 0.000

Output
total energy: -0.99 eV per atom
space-group type: C2/m (12)
DFT formation energy: -10 meV/atom

***

# 5
Tl7Hg5Pb: relaxed, GGA-PBE.

abc: 5.609 8.900 8.900
angles: 93.54 70.83 70.83
Fractional positions:
1 Tl 0.042 0.648 0.401
2 Tl 0.374 0.197 0.197
3 Tl 0.614 0.183 0.758
4 Tl 0.685 0.382 0.382
5 Tl 0.042 0.401 0.648
6 Tl 0.377 0.680 0.680
7 Tl 0.614 0.758 0.183
8 Hg 0.315 0.553 0.010
9 Hg 0.315 0.010 0.553
10 Hg 0.911 0.367 0.005
11 Hg 0.911 0.005 0.367
12 Hg 0.731 0.825 0.825
13 Pb 0.069 0.993 0.993

Output
total energy: -1.66 eV per atom
space-group type: Cm (8)
DFT formation energy: 17 meV/atom

***

# 6
NaVS2N: relaxed, GGA-PBE.

abc: 4.750 4.750 3.718
angles: 90.00 90.00 90.00
Fractional positions:
1 S 0.500 0.000 0.000
2 S 0.000 0.500 0.000
3 Na 0.500 0.500 0.500
4 N 0.000 0.000 0.500
5 V 0.000 0.000 0.000

Output
total energy: -5.75 eV per atom
space-group type: P4/mmm (123)
energy above the lowest structure with this stoichiometry: 0 meV per atom

***

# 7
RbRe: relaxed, GGA-PBE.

abc: 2.874 2.874 12.622
angles: 90.00 90.00 120.00
Fractional positions:
1 Re 0.667 0.333 0.171
2 Re 0.333 0.667 0.671
3 Rb 0.333 0.667 0.411
4 Rb 0.667 0.333 0.911

Output
total energy: -4.83 eV per atom
space-group type: P6_3mc (186)
DFT formation energy: 1882 meV/atom
energy above the lowest structure with this stoichiometry: 1165 meV per atom

***

# 8
PrDyAlIn: relaxed, GGA-PBE.

abc: 3.743 3.743 7.575
angles: 90.00 90.00 90.00
Fractional positions:
1 Al 0.000 0.000 0.373
2 Pr 0.500 0.500 0.117
3 Dy 0.500 0.500 0.597
4 In 0.000 0.000 0.841

Output
total energy: -4.39 eV per atom
space-group type: P4mm (99)
DFT formation energy: -422 meV/atom
energy above the lowest structure with this stoichiometry: 0 meV per atom

***

# 9
Mn4SiAs: relaxed, GGA-PBE.

abc: 4.744 4.744 4.744
angles: 60.00 60.00 60.00
Fractional positions:
1 Mn 0.375 0.874 0.375
2 Mn 0.375 0.375 0.874
3 Mn 0.874 0.375 0.375
4 Mn 0.375 0.375 0.375
5 As 0.000 0.000 0.000
6 Si 0.750 0.750 0.750

Output
total energy: -7.49 eV per atom
space-group type: F-43m (216)

***

# 10
RbURhSe4: relaxed, GGA-PBE.

abc: 6.803 6.182 9.450
angles: 90.00 104.23 90.00
Fractional positions:
1 Se 0.535 0.250 0.380
2 Se 0.024 0.510 0.700
3 Se 0.465 0.750 0.620
4 Se 0.548 0.250 0.797
5 Se 0.976 0.490 0.300
6 Se 0.024 0.990 0.700
7 Se 0.452 0.750 0.203
8 Se 0.976 0.010 0.300
9 Rb 0.239 0.250 0.040
10 Rb 0.761 0.750 0.960
11 U 0.252 0.250 0.543
12 U 0.748 0.750 0.457
13 Rh 0.757 0.250 0.617
14 Rh 0.243 0.750 0.383

Output
total energy: -5.62 eV per atom
space-group type: P2_1/m (11)

***

# 11
Li2HfRh2: relaxed, GGA-PBE.

abc: 6.921 6.921 3.094
angles: 90.00 90.00 90.00
Fractional positions:
1 Li 0.641 0.859 0.500
2 Li 0.859 0.359 0.500
3 Li 0.141 0.641 0.500
4 Li 0.359 0.141 0.500
5 Rh 0.154 0.346 0.000
6 Rh 0.346 0.846 0.000
7 Rh 0.846 0.654 0.000
8 Rh 0.654 0.154 0.000
9 Hf 0.500 0.500 0.000
10 Hf 0.000 0.000 0.000

Output
total energy: -5.95 eV per atom
space-group type: P4/mbm (127)
DFT formation energy: -254 meV/atom
energy above the lowest structure with this stoichiometry: 127 meV per atom

***

# 12
Tb3Te2Se2: relaxed, GGA-PBE.

abc: 4.167 7.201 7.425
angles: 98.41 90.05 106.84
Fractional positions:
1 Se 0.373 0.746 0.111
2 Se 0.627 0.254 0.889
3 Tb 0.000 0.000 0.000
4 Tb 0.754 0.507 0.245
5 Tb 0.246 0.493 0.755
6 Te 0.118 0.235 0.381
7 Te 0.882 0.765 0.619

Output
total energy: -5.53 eV per atom
space-group type: P-1 (2)
energy above the lowest structure with this stoichiometry: 0 meV per atom